Arrangement P

DFT (PBE) results for an optimized crystal structure of PmGePdPt.

Cell lengths 6.771, 6.771, 6.771 Å; angles 90.00, 90.00, 90.00 degrees
Space group F-43m (No. 216)
Asymmetric unit:
Pm1 0.000 0.000 0.000 [4 per cell]
Ge1 0.000 0.000 0.500 [4 per cell]
Pd1 0.250 0.250 0.750 [4 per cell]
Pt1 0.250 0.250 0.250 [4 per cell]

Results
Its spin magnetization is 0.00 μB/cell.


Arrangement Q

DFT (PBE) results for an optimized crystal structure of PmGePdPt.

Cell lengths 4.030, 4.030, 9.881 Å; angles 90.00, 90.00, 90.00 degrees
Space group P4/nmm (No. 129, origin choice 2)
Asymmetric unit:
Pm1 0.250 0.250 0.211 [2 per cell]
Ge1 0.250 0.250 0.653 [2 per cell]
Pd1 0.250 0.750 0.500 [2 per cell]
Pt1 0.250 0.250 0.908 [2 per cell]

Results
Its spin magnetization is 0.00 μB/cell.


Name the least stable of them. arrangement P.


Arrangement P

DFT (PBE) results for an optimized crystal structure of PmSmGePd.

Cell lengths 7.259, 7.259, 7.259 Å; angles 90.00, 90.00, 90.00 degrees
Space group F-43m (No. 216)
Asymmetric unit:
Pm1 0.000 0.000 0.000 [4 per cell]
Sm1 0.000 0.000 0.500 [4 per cell]
Ge1 0.250 0.250 0.250 [4 per cell]
Pd1 0.250 0.250 0.750 [4 per cell]

Results
Its spin magnetization is 0.00 μB/cell.


Arrangement Q

DFT (PBE) results for an optimized crystal structure of PmSmGePd.

Cell lengths 4.343, 4.067, 11.132 Å; angles 90.00, 90.00, 90.00 degrees
Space group Amm2 (No. 38)
Asymmetric unit:
Pm1 0.000 0.000 0.000 [2 per cell]
Sm1 0.500 0.000 0.277 [2 per cell]
Ge1 0.000 0.000 0.720 [2 per cell]
Pd1 0.500 0.000 0.561 [2 per cell]

Results
Its spin magnetization is 0.00 μB/cell.


Name the least stable of them. arrangement P.


Arrangement P

DFT (PBE) results for an optimized crystal structure of PmYGePd.

Cell lengths 4.318, 3.988, 11.119 Å; angles 90.00, 90.00, 90.00 degrees
Space group Amm2 (No. 38)
Asymmetric unit:
Pm1 0.000 0.000 0.000 [2 per cell]
Y1 0.500 0.000 0.277 [2 per cell]
Ge1 0.000 0.000 0.724 [2 per cell]
Pd1 0.500 0.000 0.563 [2 per cell]

Results
Its spin magnetization is 0.00 μB/cell.


Arrangement Q

DFT (PBE) results for an optimized crystal structure of PmYGePd.

Cell lengths 7.195, 7.195, 7.195 Å; angles 90.00, 90.00, 90.00 degrees
Space group F-43m (No. 216)
Asymmetric unit:
Pm1 0.000 0.000 0.000 [4 per cell]
Y1 0.000 0.000 0.500 [4 per cell]
Ge1 0.250 0.250 0.250 [4 per cell]
Pd1 0.250 0.250 0.750 [4 per cell]

Results
Its spin magnetization is 0.00 μB/cell.


Name the least stable of them. arrangement Q.


Arrangement P

DFT (PBE) results for an optimized crystal structure of PrGePd4.

Cell lengths 5.331, 5.331, 9.080 Å; angles 90.00, 90.00, 90.00 degrees
Space group P4_2/nmc (No. 137, origin choice 2)
Asymmetric unit:
Pr1 0.250 0.750 0.250 [2 per cell]
Ge1 0.250 0.750 0.750 [2 per cell]
Pd1 0.011 0.250 0.039 [8 per cell]

Results
Its spin magnetization is 0.00 μB/cell.


Arrangement Q

DFT (PBE) results for an optimized crystal structure of PrGePd4.

Cell lengths 7.642, 7.642, 7.642 Å; angles 90.00, 90.00, 90.00 degrees
Space group F-43m (No. 216)
Asymmetric unit:
Pr1 0.000 0.000 0.000 [4 per cell]
Ge1 0.250 0.250 0.750 [4 per cell]
Pd1 0.124 0.124 0.376 [16 per cell]

Results
Its spin magnetization is 0.00 μB/cell.


Arrangement R

DFT (PBE) results for an optimized crystal structure of PrGePd4.

Cell lengths 7.791, 3.987, 7.099 Å; angles 90.00, 90.00, 90.00 degrees
Space group Pmma (No. 51)
Asymmetric unit:
Pr1 0.250 0.000 0.138 [2 per cell]
Ge1 0.250 0.000 0.712 [2 per cell]
Pd1 0.000 0.000 0.500 [2 per cell]
Pd2 0.056 0.500 0.805 [4 per cell]
Pd3 0.250 0.500 0.455 [2 per cell]

Results
Its spin magnetization is 0.00 μB/cell.


Name the least stable of them. arrangement P.


Arrangement P

DFT (PBE) results for an optimized crystal structure of Pr2Ge3Pd5.

Cell lengths 4.448, 24.260, 7.008 Å; angles 90.00, 90.00, 90.00 degrees
Space group Cmc2_1 (No. 36)
Asymmetric unit:
Pr1 0.000 0.021 0.000 [4 per cell]
Pr2 0.000 0.326 0.013 [4 per cell]
Ge1 0.000 0.103 0.678 [4 per cell]
Ge2 0.000 0.275 0.572 [4 per cell]
Ge3 0.000 0.445 0.804 [4 per cell]
Pd1 0.000 0.109 0.293 [4 per cell]
Pd2 0.000 0.197 0.858 [4 per cell]
Pd3 0.000 0.226 0.257 [4 per cell]
Pd4 0.000 0.376 0.517 [4 per cell]
Pd5 0.000 0.449 0.195 [4 per cell]

Results
Its spin magnetization is 0.00 μB/cell.


Arrangement Q

DFT (PBE) results for an optimized crystal structure of Pr2Ge3Pd5.

Cell lengths 4.192, 4.192, 11.344 Å; angles 90.00, 90.00, 90.00 degrees
Space group P-4m2 (No. 115)
Asymmetric unit:
Pr1 0.000 0.500 0.223 [2 per cell]
Ge1 0.000 0.500 0.636 [2 per cell]
Ge2 0.500 0.500 0.500 [1 per cell]
Pd1 0.000 0.000 0.000 [1 per cell]
Pd2 0.000 0.000 0.500 [1 per cell]
Pd3 0.000 0.500 0.847 [2 per cell]
Pd4 0.500 0.500 0.000 [1 per cell]

Results
Its spin magnetization is 0.00 μB/cell.


Name the least stable of them. arrangement Q.


Arrangement P

DFT (PBE) results for an optimized crystal structure of PrGe3Pd3.

Cell lengths 6.7278, 6.7278, 21.0190 Å; angles 90.00, 90.00, 120.00 degrees
Space group R-3 (No. 148, hexagonal axes)
Asymmetric unit:
Pr1 0.0000 0.0000 0.1638 [6 per cell]
Ge1 0.0250 0.2524 0.5836 [18 per cell]
Pd1 0.0453 0.2828 0.7075 [18 per cell]

Results
Its spin magnetization is 0.00 μB/cell.


Arrangement Q

DFT (PBE) results for an optimized crystal structure of PrGe3Pd3.

Cell lengths 6.803, 6.803, 6.803 Å; angles 90.00, 90.00, 90.00 degrees
Space group Pm-3n (No. 223)
Asymmetric unit:
Pr1 0.000 0.000 0.000 [2 per cell]
Ge1 0.000 0.250 0.500 [6 per cell]
Pd1 0.000 0.500 0.250 [6 per cell]

Results
Its spin magnetization is 0.00 μB/cell.


Name the least stable of them. arrangement Q.